1.
A relaxed structure of PmSbIr, computed with PBE.

a = 4.6072 Å, b = 4.6072 Å, c = 3.7710 Å
α = 90.00°, β = 90.00°, γ = 120.00°
Closest atoms and distances in Å follow each position.
Space group P-6m2 (No. 187)
Symmetry-distinct sites (fractional):
Pm1 0.0000 0.0000 0.0000 [1 per cell]  6 Ir 3.26, 6 Sb 3.26
Sb1 0.6667 0.3333 0.5000 [1 per cell]  3 Ir 2.66
Ir1 0.3333 0.6667 0.5000 [1 per cell]  3 Sb 2.66

Properties
The calculation puts the formation energy from raw total energies at -0.75 eV/atom. The energy above the most stable polymorph in this dataset comes out at 124 meV per atom. For the raw total energy, the calculation gives -6.662 eV per atom.



2.
A relaxed structure of La4PdRhI2, computed with PBE.

a = 7.4349 Å, b = 4.2805 Å, c = 8.6345 Å
α = 90.00°, β = 106.67°, γ = 90.00°
Closest atoms and distances in Å follow each position.
Space group P2/m (No. 10)
Symmetry-distinct sites (fractional):
La1 0.2215 0.0000 0.1876 [2 per cell]  2 Rh 2.90, 1 Pd 2.97
La2 0.2624 0.5000 0.8118 [2 per cell]  1 Rh 2.87, 2 Pd 2.95
Pd1 0.5000 0.0000 0.0000 [1 per cell]  6 La 2.95-2.97
Rh1 0.0000 0.5000 0.0000 [1 per cell]  6 La 2.87-2.90
I1 0.0000 0.0000 0.5000 [1 per cell]  6 La 3.54-3.55
I2 0.5000 0.5000 0.5000 [1 per cell]  6 La 3.60-3.62

Properties
The calculation puts the formation energy from raw total energies at -1.01 eV/atom. For the raw total energy, the calculation gives -5.429 eV per atom.



3.
A relaxed structure of Cs2RbHgAu2, computed with PBE.

a = 4.9851 Å, b = 10.4864 Å, c = 9.5961 Å
α = 90.00°, β = 90.00°, γ = 90.00°
Closest atoms and distances in Å follow each position.
Space group Pmc2_1 (No. 26)
Symmetry-distinct sites (fractional):
Cs1 0.0000 0.0845 0.0000 [2 per cell]  5 Au 3.74-3.86, 2 Hg 3.97-4.14
Cs2 0.5000 0.2201 0.3466 [2 per cell]  4 Au 3.66-3.76, 1 Rb 3.79, 2 Hg 3.89
Rb1 0.5000 0.4216 0.8968 [2 per cell]  5 Au 3.58-3.74, 2 Hg 3.72, 1 Cs 3.79
Hg1 0.0000 0.2860 0.6497 [2 per cell]  3 Au 3.08-3.12
Au1 0.0000 0.4204 0.1639 [2 per cell]  1 Hg 3.08
Au2 0.5000 0.1159 0.7111 [2 per cell]  2 Hg 3.12

Properties
For the raw total energy, the calculation gives -1.845 eV per atom. The energy of formation from the pure elements comes out at -0.257 eV/atom.



4.
A relaxed structure of KLaFe2Br, computed with PBE.

a = 5.2317 Å, b = 5.2317 Å, c = 6.1272 Å
α = 90.00°, β = 90.00°, γ = 90.00°
Closest atoms and distances in Å follow each position.
Space group P4/mmm (No. 123)
Symmetry-distinct sites (fractional):
K1 0.0000 0.0000 0.0000 [1 per cell]  4 Br 3.70, 8 Fe 4.03
La1 0.5000 0.5000 0.5000 [1 per cell]  4 Fe 2.62
Fe1 0.0000 0.5000 0.5000 [2 per cell]  2 La 2.62
Br1 0.5000 0.5000 0.0000 [1 per cell]  2 La 3.06

Properties
The calculation puts the formation energy from raw total energies at 0.55 eV/atom. For the raw total energy, the calculation gives -4.376 eV per atom.



5.
A relaxed structure of Te2PtW, computed with PBE.

a = 3.3668 Å, b = 5.2550 Å, c = 9.3115 Å
α = 90.00°, β = 90.00°, γ = 90.00°
Closest atoms and distances in Å follow each position.
Space group Cmmm (No. 65)
Symmetry-distinct sites (fractional):
Te1 0.0000 0.0000 0.2409 [4 per cell]  2 W 2.80, 2 Pt 2.94, 4 Te 3.12
Pt1 0.0000 0.5000 0.5000 [2 per cell]  4 Te 2.94, 4 Pt 3.12
W1 0.0000 0.5000 0.0000 [2 per cell]  4 Te 2.80, 4 W 3.12

Properties
The calculation puts the formation energy from raw total energies at 0.77 eV/atom. The energy above the most stable polymorph in this dataset comes out at 724 meV per atom. For the raw total energy, the calculation gives -5.545 eV per atom.



6.
A relaxed structure of Ir2C, computed with PBE.

a = 3.7285 Å, b = 3.7285 Å, c = 2.6748 Å
α = 90.00°, β = 90.00°, γ = 90.00°
Closest atoms and distances in Å follow each position.
Space group P4/mmm (No. 123)
Symmetry-distinct sites (fractional):
Ir1 0.0000 0.5000 0.0000 [2 per cell]  4 C 2.29
C1 0.0000 0.0000 0.5000 [1 per cell]  8 Ir 2.29

Properties
The energy above the most stable polymorph in this dataset comes out at 510 meV per atom. For the raw total energy, the calculation gives -7.914 eV per atom. The energy of formation from the pure elements comes out at 1.068 eV/atom.